Arrangement i

# FeI2Br PBE-GGA optimized geometry
# DOS at the Fermi energy ... 24.6 states/eV per cell
# Volume ... 32.8 Å³ per atom
data_FeI2Br
_chemical_formula_sum 'Fe4 I8 Br4'
_cell_length_a 7.2755
_cell_length_b 7.2755
_cell_length_c 9.9086
_cell_angle_alpha 90.00
_cell_angle_beta 90.00
_cell_angle_gamma 90.00
_symmetry_space_group_name_H-M 'I -4 2 d'
_symmetry_Int_Tables_number 122
_symmetry_space_group_name_Hall 'I -4 2bw'
loop_
_atom_site_label
_atom_site_type_symbol
_atom_site_fract_x
_atom_site_fract_y
_atom_site_fract_z
Fe1 Fe 0.0000 0.0000 0.0000
I1 I 0.1463 0.7500 0.1250
Br1 Br 0.0000 0.0000 0.5000


Arrangement ii

# FeI2Br PBE-GGA optimized geometry
# DOS at the Fermi energy ... 5.4 states/eV per cell
# Volume ... 40.5 Å³ per atom
data_FeI2Br
_chemical_formula_sum 'Fe2 I4 Br2'
_cell_length_a 7.8148
_cell_length_b 12.5743
_cell_length_c 3.7432
_cell_angle_alpha 90.00
_cell_angle_beta 118.18
_cell_angle_gamma 90.00
_symmetry_space_group_name_H-M 'C 1 m 1'
_symmetry_Int_Tables_number 8
_symmetry_space_group_name_Hall 'C -2y'
loop_
_atom_site_label
_atom_site_type_symbol
_atom_site_fract_x
_atom_site_fract_y
_atom_site_fract_z
Fe1 Fe 0.0000 0.0000 0.0000
I1 I 0.1046 0.1480 0.6026
Br1 Br 0.1656 0.5000 0.6712


So which one is most stable? That would be arrangement ii, about 0.481 eV/atom below the next structure.